No. 1
Here is a geometry-optimized SrAs2Pd structure from Alexandria. Energies are from PBE.

Output
Its energy relative to the elements is -0.580 eV/atom. For the theoretical density, the calculation gives 5.6 g/cm3. The space group is I-42d, No. 122.

a = 9.314 Å, b = 9.314 Å, c = 9.314 Å
α = 149.71°, β = 149.71°, γ = 43.36°
Fractional coordinates of all 8 atoms:
Sr1 0.000 0.000 0.000
Sr2 0.750 0.250 0.500
As1 0.267 0.625 0.142
As2 0.375 0.517 0.642
As3 0.483 0.125 0.858
As4 0.875 0.733 0.358
Pd1 0.250 0.750 0.500
Pd2 0.500 0.500 0.000



No. 2
Here is a geometry-optimized Zr2Tc3Os structure from Alexandria. Energies are from PBE.

Output
Its energy relative to the elements is -0.312 eV/atom. For the theoretical density, the calculation gives 10.7 g/cm3. The space group is C2/m, No. 12.

a = 5.228 Å, b = 5.228 Å, c = 5.302 Å
α = 119.43°, β = 119.43°, γ = 59.89°
Fractional coordinates of all 6 atoms:
Zr1 0.125 0.125 0.376
Zr2 0.875 0.875 0.624
Tc1 0.000 0.500 0.000
Tc2 0.500 0.000 0.000
Tc3 0.500 0.500 0.000
Os1 0.500 0.500 0.500



No. 3
Here is a geometry-optimized CrCd2P structure from Alexandria. Energies are from PBE.

Output
Its energy relative to the elements is 0.380 eV/atom. For the theoretical density, the calculation gives 6.8 g/cm3. The space group is Cmmm, No. 65.

a = 5.197 Å, b = 5.197 Å, c = 3.115 Å
α = 90.00°, β = 90.00°, γ = 116.78°
Fractional coordinates of all 4 atoms:
Cr1 0.000 0.000 0.000
Cd1 0.000 0.500 0.500
Cd2 0.500 0.000 0.500
P1 0.500 0.500 0.000



No. 4
Here is a geometry-optimized TbHoTiCd structure from Alexandria. Energies are from PBE.

Output
Its energy relative to the elements is 0.042 eV/atom. For the theoretical density, the calculation gives 8.0 g/cm3. The space group is F-43m, No. 216.

a = 5.226 Å, b = 5.226 Å, c = 5.226 Å
α = 60.00°, β = 60.00°, γ = 60.00°
Fractional coordinates of all 4 atoms:
Tb1 0.000 0.000 0.000
Ho1 0.500 0.500 0.500
Ti1 0.250 0.250 0.250
Cd1 0.750 0.750 0.750



No. 5
Here is a geometry-optimized Mo2RuRh structure from Alexandria. Energies are from PBE.

Output
Its energy relative to the elements is -0.070 eV/atom. The value obtained for the energy above the lowest structure with this stoichiometry is 0.05 eV per formula unit. For the theoretical density, the calculation gives 11.1 g/cm3. The space group is Cmmm, No. 65.

a = 4.766 Å, b = 4.766 Å, c = 2.770 Å
α = 90.00°, β = 90.00°, γ = 109.07°
Fractional coordinates of all 4 atoms:
Mo1 0.000 0.500 0.000
Mo2 0.500 0.000 0.000
Ru1 0.000 0.000 0.500
Rh1 0.500 0.500 0.500



No. 6
Here is a geometry-optimized SrTcSbI2 structure from Alexandria. Energies are from PBE.

Output
For the uncorrected formation energy, the calculation gives 0.70 eV per atom. The value obtained for the energy above the lowest structure with this stoichiometry is 4.10 eV per formula unit. For the theoretical density, the calculation gives 3.6 g/cm3. The space group is P4/mmm, No. 123.

a = 6.187 Å, b = 6.187 Å, c = 6.685 Å
α = 90.00°, β = 90.00°, γ = 90.00°
Fractional coordinates of all 5 atoms:
Sr1 0.000 0.000 0.000
Tc1 0.500 0.500 0.500
Sb1 0.000 0.000 0.500
I1 0.000 0.500 0.000
I2 0.500 0.000 0.000



No. 7
Here is a geometry-optimized Sr4LiIn2 structure from Alexandria. Energies are from PBE.

Output
Its energy relative to the elements is -0.247 eV/atom. For the theoretical density, the calculation gives 3.6 g/cm3. The space group is R-3m, No. 166.

a = 9.950 Å, b = 9.950 Å, c = 9.950 Å
α = 33.71°, β = 33.71°, γ = 33.71°
Fractional coordinates of all 7 atoms:
Sr1 0.122 0.122 0.122
Sr2 0.373 0.373 0.373
Sr3 0.627 0.627 0.627
Sr4 0.878 0.878 0.878
Li1 0.500 0.500 0.500
In1 0.246 0.246 0.246
In2 0.754 0.754 0.754



No. 8
Here is a geometry-optimized LaCe3Se6 structure from Alexandria. Energies are from PBE.

Output
For the uncorrected formation energy, the calculation gives -1.78 eV per atom. The value obtained for the energy above the lowest structure with this stoichiometry is 0.69 eV per formula unit. For the theoretical density, the calculation gives 5.6 g/cm3. The space group is P2_1/c, No. 14.

a = 7.144 Å, b = 7.852 Å, c = 12.872 Å
α = 90.00°, β = 122.43°, γ = 90.00°
Fractional coordinates of all 20 atoms:
La1 0.000 0.000 0.000
La2 0.000 0.500 0.500
Ce1 0.298 0.099 0.755
Ce2 0.298 0.401 0.255
Ce3 0.500 0.000 0.500
Ce4 0.500 0.500 0.000
Ce5 0.702 0.599 0.745
Ce6 0.702 0.901 0.245
Se1 0.092 0.069 0.254
Se2 0.092 0.431 0.754
Se3 0.266 0.683 0.088
Se4 0.266 0.817 0.588
Se5 0.412 0.184 0.082
Se6 0.412 0.316 0.582
Se7 0.588 0.684 0.418
Se8 0.588 0.816 0.918
Se9 0.734 0.183 0.412
Se10 0.734 0.317 0.912
Se11 0.908 0.569 0.246
Se12 0.908 0.931 0.746



No. 9
Here is a geometry-optimized HoMg2InGa structure from Alexandria. Energies are from PBE.

Output
Its energy relative to the elements is -0.195 eV/atom. For the theoretical density, the calculation gives 5.2 g/cm3. The space group is Cmcm, No. 63.

a = 8.853 Å, b = 8.853 Å, c = 8.373 Å
α = 90.00°, β = 90.00°, γ = 157.40°
Fractional coordinates of all 10 atoms:
Ho1 0.098 0.902 0.750
Ho2 0.902 0.098 0.250
Mg1 0.326 0.674 0.559
Mg2 0.326 0.674 0.941
Mg3 0.674 0.326 0.059
Mg4 0.674 0.326 0.441
In1 0.500 0.500 0.000
In2 0.500 0.500 0.500
Ga1 0.260 0.740 0.250
Ga2 0.740 0.260 0.750



No. 10
Here is a geometry-optimized La4SbTe2Br structure from Alexandria. Energies are from PBE.

Output
For the uncorrected formation energy, the calculation gives -1.45 eV per atom. For the theoretical density, the calculation gives 6.3 g/cm3. The space group is P2/m, No. 10.

a = 7.806 Å, b = 4.545 Å, c = 7.919 Å
α = 90.00°, β = 109.48°, γ = 90.00°
Fractional coordinates of all 8 atoms:
La1 0.247 0.000 0.245
La2 0.249 0.500 0.754
La3 0.751 0.500 0.246
La4 0.753 0.000 0.755
Sb1 0.000 0.500 0.000
Te1 0.000 0.000 0.500
Te2 0.500 0.500 0.500
Br1 0.500 0.000 0.000



No. 11
Here is a geometry-optimized Pr5Sm8Sc structure from Alexandria. Energies are from PBE.

Output
Its energy relative to the elements is 0.176 eV/atom. For the theoretical density, the calculation gives 6.6 g/cm3. The space group is C2, No. 5.

a = 8.940 Å, b = 8.940 Å, c = 8.679 Å
α = 118.66°, β = 118.66°, γ = 57.51°
Fractional coordinates of all 14 atoms:
Pr1 0.000 0.000 0.000
Pr2 0.227 0.567 0.033
Pr3 0.433 0.773 0.967
Pr4 0.609 0.294 0.735
Pr5 0.706 0.391 0.265
Sm1 0.061 0.564 0.571
Sm2 0.072 0.183 0.682
Sm3 0.388 0.284 0.295
Sm4 0.436 0.939 0.429
Sm5 0.536 0.069 0.922
Sm6 0.716 0.612 0.705
Sm7 0.817 0.928 0.318
Sm8 0.931 0.464 0.078
Sc1 0.271 0.729 0.500



No. 12
Here is a geometry-optimized Li12MgGa2 structure from Alexandria. Energies are from PBE.

Output
Its energy relative to the elements is 0.080 eV/atom. For the theoretical density, the calculation gives 1.3 g/cm3. The space group is P4/nbm, No. 125.

a = 5.303 Å, b = 5.303 Å, c = 21.809 Å
α = 90.00°, β = 90.00°, γ = 90.00°
Fractional coordinates of all 30 atoms:
Li1 0.010 0.510 0.112
Li2 0.010 0.990 0.888
Li3 0.063 0.563 0.558
Li4 0.063 0.937 0.442
Li5 0.250 0.250 0.210
Li6 0.250 0.250 0.328
Li7 0.250 0.250 0.672
Li8 0.250 0.250 0.790
Li9 0.437 0.563 0.442
Li10 0.437 0.937 0.558
Li11 0.490 0.510 0.888
Li12 0.490 0.990 0.112
Li13 0.510 0.010 0.888
Li14 0.510 0.490 0.112
Li15 0.563 0.063 0.442
Li16 0.563 0.437 0.558
Li17 0.750 0.750 0.210
Li18 0.750 0.750 0.328
Li19 0.750 0.750 0.672
Li20 0.750 0.750 0.790
Li21 0.937 0.063 0.558
Li22 0.937 0.437 0.442
Li23 0.990 0.010 0.112
Li24 0.990 0.490 0.888
Mg1 0.250 0.750 0.000
Mg2 0.750 0.250 0.000
Ga1 0.250 0.750 0.222
Ga2 0.250 0.750 0.778
Ga3 0.750 0.250 0.222
Ga4 0.750 0.250 0.778



No. 13
Here is a geometry-optimized Fe2AgRu structure from Alexandria. Energies are from PBE.

Output
Its energy relative to the elements is 0.365 eV/atom. The value obtained for the energy above the lowest structure with this stoichiometry is 0.26 eV per formula unit. For the theoretical density, the calculation gives 9.5 g/cm3. The space group is Cmmm, No. 65.

a = 4.668 Å, b = 4.668 Å, c = 2.685 Å
α = 90.00°, β = 90.00°, γ = 107.41°
Fractional coordinates of all 4 atoms:
Fe1 0.000 0.500 0.000
Fe2 0.500 0.000 0.000
Ag1 0.000 0.000 0.500
Ru1 0.500 0.500 0.500



No. 14
Here is a geometry-optimized SiPRu2 structure from Alexandria. Energies are from PBE.

Output
For the uncorrected formation energy, the calculation gives -0.33 eV per atom. The value obtained for the energy above the lowest structure with this stoichiometry is 0.59 eV per formula unit. For the theoretical density, the calculation gives 8.2 g/cm3. The space group is C2/m, No. 12.

a = 4.072 Å, b = 4.072 Å, c = 4.970 Å
α = 101.44°, β = 101.44°, γ = 41.22°
Fractional coordinates of all 4 atoms:
Si1 0.000 0.000 0.000
P1 0.500 0.500 0.500
Ru1 0.255 0.255 0.742
Ru2 0.745 0.745 0.258



No. 15
Here is a geometry-optimized MnIn2SnPd structure from Alexandria. Energies are from PBE.

Output
Its energy relative to the elements is 0.538 eV/atom. For the theoretical density, the calculation gives 7.2 g/cm3. The space group is P4/mmm, No. 123.

a = 4.996 Å, b = 4.996 Å, c = 4.719 Å
α = 90.00°, β = 90.00°, γ = 90.00°
Fractional coordinates of all 5 atoms:
Mn1 0.000 0.000 0.000
In1 0.000 0.500 0.000
In2 0.500 0.000 0.000
Sn1 0.500 0.500 0.500
Pd1 0.000 0.000 0.500



No. 16
Here is a geometry-optimized Ba4ZnCu3 structure from Alexandria. Energies are from PBE.

Output
Its energy relative to the elements is -0.056 eV/atom. For the theoretical density, the calculation gives 4.8 g/cm3. The space group is Pmm2, No. 25.

a = 4.569 Å, b = 4.580 Å, c = 13.261 Å
α = 90.00°, β = 90.00°, γ = 90.00°
Fractional coordinates of all 8 atoms:
Ba1 0.000 0.000 0.000
Ba2 0.000 0.500 0.492
Ba3 0.500 0.000 0.722
Ba4 0.500 0.500 0.228
Zn1 0.000 0.500 0.811
Cu1 0.000 0.000 0.315
Cu2 0.500 0.000 0.404
Cu3 0.500 0.500 0.906



No. 17
Here is a geometry-optimized Tm8Co2Sn structure from Alexandria. Energies are from PBE.

Output
Its energy relative to the elements is -0.211 eV/atom. For the theoretical density, the calculation gives 9.4 g/cm3. The space group is C2/m, No. 12.

a = 7.739 Å, b = 7.739 Å, c = 5.234 Å
α = 97.48°, β = 97.48°, γ = 112.96°
Fractional coordinates of all 11 atoms:
Tm1 0.110 0.110 0.799
Tm2 0.168 0.431 0.424
Tm3 0.250 0.750 0.000
Tm4 0.431 0.168 0.424
Tm5 0.569 0.832 0.576
Tm6 0.750 0.250 0.000
Tm7 0.832 0.569 0.576
Tm8 0.890 0.890 0.201
Co1 0.191 0.809 0.500
Co2 0.809 0.191 0.500
Sn1 0.500 0.500 0.000



No. 18
Here is a geometry-optimized MgBeNb2Se structure from Alexandria. Energies are from PBE.

Output
For the uncorrected formation energy, the calculation gives 1.80 eV per atom. For the theoretical density, the calculation gives 4.5 g/cm3. The space group is P4/mmm, No. 123.

a = 4.865 Å, b = 4.865 Å, c = 4.645 Å
α = 90.00°, β = 90.00°, γ = 90.00°
Fractional coordinates of all 5 atoms:
Mg1 0.000 0.000 0.000
Be1 0.500 0.500 0.500
Nb1 0.000 0.500 0.000
Nb2 0.500 0.000 0.000
Se1 0.000 0.000 0.500



No. 19
Here is a geometry-optimized DyZr2Al structure from Alexandria. Energies are from PBE.

Output
Its energy relative to the elements is -0.028 eV/atom. The value obtained for the energy above the lowest structure with this stoichiometry is 0.66 eV per formula unit. For the theoretical density, the calculation gives 6.9 g/cm3. The space group is Fm-3m, No. 225.

a = 5.017 Å, b = 5.017 Å, c = 5.017 Å
α = 60.00°, β = 60.00°, γ = 60.00°
Fractional coordinates of all 4 atoms:
Dy1 0.000 0.000 0.000
Zr1 0.250 0.250 0.250
Zr2 0.750 0.750 0.750
Al1 0.500 0.500 0.500



No. 20
Here is a geometry-optimized ZnCo2Ru structure from Alexandria. Energies are from PBE.

Output
Its energy relative to the elements is 0.600 eV/atom. For the theoretical density, the calculation gives 8.5 g/cm3. The space group is I-42d, No. 122.

a = 5.318 Å, b = 5.318 Å, c = 5.318 Å
α = 102.98°, β = 102.98°, γ = 123.41°
Fractional coordinates of all 8 atoms:
Zn1 0.000 0.000 0.000
Zn2 0.750 0.250 0.500
Co1 0.138 0.625 0.013
Co2 0.375 0.388 0.513
Co3 0.612 0.125 0.987
Co4 0.875 0.862 0.487
Ru1 0.250 0.750 0.500
Ru2 0.500 0.500 0.000